Nb2AgBSe GGA-PBE optimized geometry; SG = P4/mmm (123); size of the total moment = 0.000 μB per cell; formation energy (no corrections) = 0.321 eV/atom; Fermi-level density of states = 0.97 states/eV per atom; total energy = -6.309 eV per atom
1.0
4.491 0.000 0.000
0.000 4.491 0.000
0.000 0.000 4.175
Nb Ag B Se
2 1 1 1
direct
0.000 0.500 0.000
0.500 0.000 0.000
0.000 0.000 0.500
0.000 0.000 0.000
0.500 0.500 0.500

ZnOs3F GGA-PBE optimized geometry; relative energy among the computed polymorphs = 786 meV per atom; SG = Pm-3m (221); size of the total moment = 4.882 μB per cell; formation energy (no corrections) = 2.464 eV/atom; Fermi-level density of states = 1.06 states/eV per atom; total energy = -4.903 eV per atom
1.0
4.571 0.000 0.000
0.000 4.571 0.000
0.000 0.000 4.571
Zn Os F
1 3 1
direct
0.000 0.000 0.000
0.000 0.000 0.500
0.000 0.500 0.000
0.500 0.000 0.000
0.500 0.500 0.500

PmGeRu GGA-PBE optimized geometry; relative energy among the computed polymorphs = 449 meV per atom; SG = F-43m (216); size of the total moment = 0.000 μB per cell; Fermi-level density of states = 0.84 states/eV per atom; total energy = -6.446 eV per atom
1.0
0.000 3.214 3.214
3.214 0.000 3.214
3.214 3.214 0.000
Pm Ge Ru
1 1 1
direct
0.000 0.000 0.000
0.500 0.500 0.500
0.250 0.250 0.250

Ba2Ac4Sb3O2 GGA-PBE optimized geometry; SG = I4/mmm (139); size of the total moment = 0.000 μB per cell; formation energy (no corrections) = -1.639 eV/atom; Fermi-level density of states = 0.32 states/eV per atom; total energy = -5.508 eV per atom
1.0
-2.576 2.576 13.831
2.576 -2.576 13.831
2.576 2.576 -13.831
Ba Ac Sb O
2 4 3 2
direct
0.197 0.197 0.000
0.803 0.803 0.000
0.080 0.580 0.500
0.420 0.920 0.500
0.580 0.080 0.500
0.920 0.420 0.500
0.330 0.330 0.000
0.500 0.500 0.000
0.670 0.670 0.000
0.097 0.097 0.000
0.903 0.903 0.000

YHfZnPd GGA-PBE optimized geometry; SG = F-43m (216); size of the total moment = 0.001 μB per cell; Fermi-level density of states = 1.32 states/eV per atom; total energy = -6.119 eV per atom
1.0
0.000 3.434 3.434
3.434 0.000 3.434
3.434 3.434 0.000
Y Hf Zn Pd
1 1 1 1
direct
0.000 0.000 0.000
0.500 0.500 0.500
0.250 0.250 0.250
0.750 0.750 0.750

SrEuHgP GGA-PBE optimized geometry; SG = F-43m (216); size of the total moment = 7.306 μB per cell; Fermi-level density of states = 0.66 states/eV per atom; total energy = -5.081 eV per atom
1.0
0.000 3.806 3.806
3.806 0.000 3.806
3.806 3.806 0.000
Sr Eu Hg P
1 1 1 1
direct
0.000 0.000 0.000
0.500 0.500 0.500
0.750 0.750 0.750
0.250 0.250 0.250

CsNaU2I8 GGA-PBE optimized geometry; SG = P-3 (147); size of the total moment = 6.000 μB per cell; formation energy (no corrections) = -0.951 eV/atom; Fermi-level density of states = 1.47 states/eV per atom; total energy = -4.047 eV per atom
1.0
8.229 0.000 0.000
-4.114 7.126 0.000
0.000 0.000 9.503
Cs Na U I
1 1 2 8
direct
0.000 0.000 0.000
0.000 0.000 0.500
0.333 0.667 0.414
0.667 0.333 0.586
0.064 0.370 0.657
0.306 0.936 0.657
0.333 0.667 0.092
0.370 0.306 0.343
0.630 0.694 0.657
0.667 0.333 0.908
0.694 0.064 0.343
0.936 0.630 0.343

Which formula does entry 3 have? PmGeRu

The highest size of the total moment belongs to which entry? SrEuHgP

Which value of Fermi-level density of states does entry 6 give? 0.66 states/eV per atom